A plane-wave DFT calculation with PBE-GGA was carried out for a geometry-optimized Zn2AgPd3 structure.

Cell and atoms, written as CIF:
```
data_Zn2AgPd3
_chemical_formula_sum 'Zn2 Ag1 Pd3'
_cell_length_a 2.9683
_cell_length_b 2.9683
_cell_length_c 10.3299
_cell_angle_alpha 90.00
_cell_angle_beta 90.00
_cell_angle_gamma 90.00
_symmetry_space_group_name_H-M 'P 1'
_symmetry_Int_Tables_number 1
loop_
_symmetry_equiv_pos_as_xyz
'x,y,z'
loop_
_atom_site_label
_atom_site_type_symbol
_atom_site_fract_x
_atom_site_fract_y
_atom_site_fract_z
_atom_site_occupancy
Zn1 Zn 0.0000 0.0000 0.1607 1
Zn2 Zn 0.0000 0.0000 0.8393 1
Ag1 Ag 0.0000 0.0000 0.5000 1
Pd1 Pd 0.5000 0.5000 0.0000 1
Pd2 Pd 0.5000 0.5000 0.3106 1
Pd3 Pd 0.5000 0.5000 0.6894 1
```

## Properties
For the energy of formation from the pure elements, the calculation gives -0.437 eV per atom. The total energy comes out at -23.5 eV/cell. As for the space group: P4/mmm, No. 123.

---

A plane-wave DFT calculation with PBE-GGA was carried out for a geometry-optimized Sc2ZnAu structure.

Cell and atoms, written as CIF:
```
data_Sc2ZnAu
_chemical_formula_sum 'Sc4 Zn2 Au2'
_cell_length_a 4.5094
_cell_length_b 4.5094
_cell_length_c 9.1255
_cell_angle_alpha 90.00
_cell_angle_beta 90.00
_cell_angle_gamma 120.00
_symmetry_space_group_name_H-M 'P 1'
_symmetry_Int_Tables_number 1
loop_
_symmetry_equiv_pos_as_xyz
'x,y,z'
loop_
_atom_site_label
_atom_site_type_symbol
_atom_site_fract_x
_atom_site_fract_y
_atom_site_fract_z
_atom_site_occupancy
Sc1 Sc 0.3333 0.6667 0.0942 1
Sc2 Sc 0.3333 0.6667 0.4058 1
Sc3 Sc 0.6667 0.3333 0.5942 1
Sc4 Sc 0.6667 0.3333 0.9058 1
Zn1 Zn 0.0000 0.0000 0.2500 1
Zn2 Zn 0.0000 0.0000 0.7500 1
Au1 Au 0.3333 0.6667 0.7500 1
Au2 Au 0.6667 0.3333 0.2500 1
```

## Properties
For the energy of formation from the pure elements, the calculation gives -0.385 eV per atom. The total energy comes out at -37.5 eV/cell. As for the space group: P6_3/mmc, No. 194.

---

A plane-wave DFT calculation with PBE-GGA was carried out for a geometry-optimized NdGaPO structure.

Cell and atoms, written as CIF:
```
data_NdGaPO
_chemical_formula_sum 'Nd2 Ga2 P2 O2'
_cell_length_a 5.8885
_cell_length_b 5.8885
_cell_length_c 4.7252
_cell_angle_alpha 90.00
_cell_angle_beta 90.00
_cell_angle_gamma 90.00
_symmetry_space_group_name_H-M 'P 1'
_symmetry_Int_Tables_number 1
loop_
_symmetry_equiv_pos_as_xyz
'x,y,z'
loop_
_atom_site_label
_atom_site_type_symbol
_atom_site_fract_x
_atom_site_fract_y
_atom_site_fract_z
_atom_site_occupancy
Nd1 Nd 0.2500 0.7500 0.0000 1
Nd2 Nd 0.7500 0.2500 0.0000 1
Ga1 Ga 0.2500 0.2500 0.4937 1
Ga2 Ga 0.7500 0.7500 0.5063 1
P1 P 0.2500 0.2500 0.9934 1
P2 P 0.7500 0.7500 0.0066 1
O1 O 0.2500 0.7500 0.5000 1
O2 O 0.7500 0.2500 0.5000 1
```

## Properties
The total energy comes out at -46.5 eV/cell. As for the space group: P4/nmm, No. 129.